# 1
Here is LiNiRu after structural relaxation from Alexandria. Energies are from PBE.

Cell lengths 4.2364, 4.9547, 6.9516 Å; angles 90.00, 90.00, 90.00 degrees
Fractional positions:
1 Ru 0.7500 0.5000 0.4150
2 Ru 0.7500 0.0000 0.0850
3 Ru 0.2500 0.0000 0.9150
4 Ru 0.2500 0.5000 0.5850
5 Ni 0.2500 0.7500 0.2500
6 Ni 0.7500 0.2500 0.7500
7 Ni 0.7500 0.7500 0.7500
8 Ni 0.2500 0.2500 0.2500
9 Li 0.7500 0.0000 0.4377
10 Li 0.7500 0.5000 0.0623
11 Li 0.2500 0.5000 0.9377
12 Li 0.2500 0.0000 0.5623

Values from the calculation:
formation energy from the elements = 0.47 eV per formula unit
V = 12.16 Å³ per atom
N(E_F) = 3.65 states/eV/f.u.
excess energy over the best structure of this formula in the dataset = 0.000 eV/atom
SG = Imma (74)

---

# 2
Here is TaVFe2 after structural relaxation from Alexandria. Energies are from PBE.

Cell lengths 2.8412, 2.8412, 6.4152 Å; angles 90.00, 90.00, 90.00 degrees
Fractional positions:
1 V 0.5000 0.5000 0.5000
2 Fe 0.0000 0.0000 0.7147
3 Fe 0.0000 0.0000 0.2853
4 Ta 0.5000 0.5000 0.0000

Values from the calculation:
formation energy from the elements = -0.51 eV per formula unit
V = 12.95 Å³ per atom
N(E_F) = 4.37 states/eV/f.u.
SG = P4/mmm (123)

---

# 3
Here is NdPuGaSn after structural relaxation from Alexandria. Energies are from PBE.

Cell lengths 5.3071, 5.3071, 5.3071 Å; angles 60.00, 60.00, 60.00 degrees
Fractional positions:
1 Nd 0.5000 0.5000 0.5000
2 Sn 0.2500 0.2500 0.2500
3 Ga 0.7500 0.7500 0.7500
4 Pu 0.0000 0.0000 0.0000

Values from the calculation:
formation energy from the elements = -1.56 eV per formula unit
V = 26.42 Å³ per atom
N(E_F) = 10.54 states/eV/f.u.
SG = F-43m (216)

---

# 4
Here is AcNdBr after structural relaxation from Alexandria. Energies are from PBE.

Cell lengths 3.8463, 10.0739, 6.1315 Å; angles 84.49, 71.74, 78.93 degrees
Fractional positions:
1 Br 0.8089 0.6220 0.7621
2 Br 0.1911 0.3780 0.2379
3 Ac 0.9611 0.2828 0.7933
4 Ac 0.0389 0.7172 0.2067
5 Nd 0.6575 0.9501 0.7357
6 Nd 0.3425 0.0499 0.2643

Values from the calculation:
V = 36.87 Å³ per atom
raw formation energy = -0.729 eV per atom
N(E_F) = 2.26 states/eV/f.u.
excess energy over the best structure of this formula in the dataset = 0.013 eV/atom
SG = P-1 (2)

---

# 5
Here is InW2Br after structural relaxation from Alexandria. Energies are from PBE.

Cell lengths 9.4226, 9.4226, 9.4226 Å; angles 18.35, 18.35, 18.35 degrees
Fractional positions:
1 Br 0.2500 0.2500 0.2500
2 W 0.9969 0.9969 0.9969
3 W 0.5031 0.5031 0.5031
4 In 0.7500 0.7500 0.7500

Values from the calculation:
V = 18.11 Å³ per atom
raw formation energy = 0.952 eV per atom
N(E_F) = 3.93 states/eV/f.u.
excess energy over the best structure of this formula in the dataset = 0.621 eV/atom
SG = R-3m (166)

---

# 6
Here is CaAc2LaBi4 after structural relaxation from Alexandria. Energies are from PBE.

Cell lengths 4.8159, 8.2402, 8.2970 Å; angles 70.15, 90.00, 90.00 degrees
Fractional positions:
1 Ca 0.0000 0.5000 0.5000
2 Ac 0.0000 0.0000 0.0000
3 Ac 0.5000 0.0000 0.5000
4 La 0.5000 0.5000 0.0000
5 Bi 0.0000 0.7386 0.7536
6 Bi 0.0000 0.2614 0.2464
7 Bi 0.5000 0.7378 0.2545
8 Bi 0.5000 0.2622 0.7455

Values from the calculation:
formation energy from the elements = -7.22 eV per formula unit
V = 38.71 Å³ per atom
N(E_F) = 5.71 states/eV/f.u.
SG = P2/m (10)

---

# 7
Here is TbNpIr2 after structural relaxation from Alexandria. Energies are from PBE.

Cell lengths 4.8506, 4.8506, 4.8506 Å; angles 60.00, 60.00, 60.00 degrees
Fractional positions:
1 Np 0.5000 0.5000 0.5000
2 Ir 0.2500 0.2500 0.2500
3 Ir 0.7500 0.7500 0.7500
4 Tb 0.0000 0.0000 0.0000

Values from the calculation:
formation energy from the elements = -1.94 eV per formula unit
V = 20.17 Å³ per atom
N(E_F) = 5.62 states/eV/f.u.
excess energy over the best structure of this formula in the dataset = 0.004 eV/atom
SG = Fm-3m (225)

---

# 8
Here is Tb3Ho6Tm after structural relaxation from Alexandria. Energies are from PBE.

Cell lengths 6.1526, 10.8786, 10.8786 Å; angles 119.80, 90.00, 90.00 degrees
Fractional positions:
1 Tb 0.4578 0.9397 0.7203
2 Tb 0.9578 0.7203 0.9397
3 Tb 0.0691 0.3904 0.6096
4 Tb 0.5691 0.6096 0.3904
5 Tb 0.9578 0.0603 0.2797
6 Tb 0.4578 0.2797 0.0603
7 Ho 0.0368 0.7114 0.6177
8 Ho 0.5368 0.6177 0.7114
9 Ho 0.3620 0.5369 0.9570
10 Ho 0.8620 0.9570 0.5369
11 Ho 0.4171 0.9528 0.0472
12 Ho 0.6428 0.2813 0.7187
13 Ho 0.1428 0.7187 0.2813
14 Ho 0.9171 0.0472 0.9528
15 Ho 0.3620 0.0430 0.4631
16 Ho 0.8620 0.4631 0.0430
17 Ho 0.0368 0.3823 0.2886
18 Ho 0.5368 0.2886 0.3823
19 Tm 0.1432 0.2067 0.7933
20 Tm 0.6432 0.7933 0.2067

Values from the calculation:
formation energy from the elements = 1.49 eV per formula unit
V = 31.59 Å³ per atom
N(E_F) = 14.40 states/eV/f.u.
excess energy over the best structure of this formula in the dataset = 0.027 eV/atom
SG = Cmc2_1 (36)

---

Question: The highest V belongs to which entry?
Answer: CaAc2LaBi4